Density functional theory data (PBE-GGA) for crystalline RbHoSnTe3 at its relaxed geometry.

Output
- Total magnetization: 0.0 μB/cell
- VASP energy: -49.950 eV/cell
- Crystal system: monoclinic

Cell: 9.5682 4.4374 11.9589 Å, 90.00 109.57 90.00°
Closest atoms and distances in Å follow each position.
Space group P2_1/m (No. 11)
Asymmetric unit:
Rb (0.2215, 0.2500, 0.2665) (multiplicity 2)  5 Te 3.68-3.91, 1 Sn 3.86
Ho (0.3677, 0.7500, 0.8453) (multiplicity 2)  6 Te 3.05-3.14
Sn (0.1303, 0.2500, 0.5572) (multiplicity 2)  3 Te 2.87-2.99
Te (0.1234, 0.2500, 0.7955) (multiplicity 2)  1 Sn 2.87, 2 Ho 3.13
Te (0.3478, 0.7500, 0.5781) (multiplicity 2)  2 Sn 2.99, 1 Ho 3.14
Te (0.3981, 0.7500, 0.1076) (multiplicity 2)  3 Ho 3.05-3.07


Density functional theory data (PBE-GGA) for crystalline Y2InMoRu at its relaxed geometry.

Output
- Energy of formation: 1.50 eV per formula unit
- Total magnetization: 0.8 μB/cell
- VASP energy: -34.276 eV/cell
- Crystal system: tetragonal

Cell: 5.3596 5.3596 4.6813 Å, 90.00 90.00 90.00°
Closest atoms and distances in Å follow each position.
Space group P4/mmm (No. 123)
Asymmetric unit:
Y (0.0000, 0.5000, 0.0000) (multiplicity 2)  2 Ru 2.68
In (0.0000, 0.0000, 0.5000) (multiplicity 1)  8 Y 3.56, 4 Mo 3.79
Mo (0.5000, 0.5000, 0.5000) (multiplicity 1)  2 Ru 2.34
Ru (0.5000, 0.5000, 0.0000) (multiplicity 1)  2 Mo 2.34


Density functional theory data (PBE-GGA) for crystalline ZnPtRh2 at its relaxed geometry.

Output
- Energy of formation: -0.80 eV per formula unit
- Total magnetization: 0.0 μB/cell
- VASP energy: -22.815 eV/cell
- Crystal system: tetragonal

Cell: 2.7639 2.7639 7.5701 Å, 90.00 90.00 90.00°
Closest atoms and distances in Å follow each position.
Space group P4mm (No. 99)
Asymmetric unit:
Zn (0.0000, 0.0000, 0.0000) (multiplicity 1)  4 Rh 2.70, 4 Pt 2.71, 4 Zn 2.76
Pt (0.5000, 0.5000, 0.2489) (multiplicity 1)  4 Zn 2.71, 4 Pt 2.76, 4 Rh 2.80
Rh (0.0000, 0.0000, 0.5135) (multiplicity 1)  8 Rh 2.67-2.76, 4 Pt 2.80
Rh (0.5000, 0.5000, 0.7542) (multiplicity 1)  8 Rh 2.67-2.76, 4 Zn 2.70


Density functional theory data (PBE-GGA) for crystalline ZnSbIr2 at its relaxed geometry.

Output
- Total magnetization: 0.0 μB/cell
- Energy above the lowest structure with this stoichiometry: 102 meV per atom
- VASP energy: -45.753 eV/cell
- Crystal system: monoclinic

Cell: 8.5928 3.0504 5.0582 Å, 90.00 100.77 90.00°
Closest atoms and distances in Å follow each position.
Space group C2/m (No. 12)
Asymmetric unit:
Zn (0.0000, 0.0000, 0.0000) (multiplicity 2)  6 Ir 2.67-2.73, 4 Sb 2.95
Sb (0.0000, 0.5000, 0.5000) (multiplicity 2)  6 Ir 2.71-2.76, 4 Zn 2.95
Ir (0.2491, 0.5000, 0.2426) (multiplicity 4)  3 Zn 2.67-2.73, 3 Sb 2.71-2.76, 2 Ir 2.89


Density functional theory data (PBE-GGA) for crystalline Dy6Te3Ru at its relaxed geometry.

Output
- Total magnetization: 0.0 μB/cell
- Energy above the lowest structure with this stoichiometry: 8 meV per atom
- VASP energy: -108.459 eV/cell
- Crystal system: monoclinic

Cell: 12.3129 4.0144 13.0081 Å, 90.00 115.72 90.00°
Closest atoms and distances in Å follow each position.
Space group P2_1/m (No. 11)
Asymmetric unit:
Dy (0.0198, 0.2500, 0.1234) (multiplicity 2)  4 Te 3.01-3.25
Dy (0.1488, 0.7500, 0.5103) (multiplicity 2)  4 Te 3.03-3.09
Dy (0.2508, 0.2500, 0.7724) (multiplicity 2)  2 Ru 2.94, 3 Te 3.18-3.23
Dy (0.3427, 0.2500, 0.2339) (multiplicity 2)  1 Ru 2.90, 3 Te 3.00-3.07
Dy (0.4175, 0.2500, 0.6163) (multiplicity 2)  2 Ru 2.92, 2 Te 3.19
Dy (0.4250, 0.7500, 0.0575) (multiplicity 2)  2 Ru 2.87
Te (0.0235, 0.7500, 0.6661) (multiplicity 2)  6 Dy 3.01-3.23
Te (0.1823, 0.2500, 0.9819) (multiplicity 2)  5 Dy 3.00-3.25
Te (0.3273, 0.7500, 0.4054) (multiplicity 2)  6 Dy 3.05-3.27
Ru (0.4304, 0.7500, 0.7839) (multiplicity 2)  7 Dy 2.87-2.94


Density functional theory data (PBE-GGA) for crystalline ZrTc at its relaxed geometry.

Output
- Energy of formation: 2.10 eV per formula unit
- Total magnetization: 0.0 μB/cell
- VASP energy: -33.630 eV/cell
- Crystal system: hexagonal

Cell: 4.5200 4.5200 5.4409 Å, 90.00 90.00 120.00°
Closest atoms and distances in Å follow each position.
Space group P6_3/mmc (No. 194)
Asymmetric unit:
Zr (0.3333, 0.6667, 0.2500) (multiplicity 2)  5 Tc 2.61-2.72
Tc (0.3333, 0.6667, 0.7500) (multiplicity 2)  5 Zr 2.61-2.72


Density functional theory data (PBE-GGA) for crystalline KTc3Ir at its relaxed geometry.

Output
- Energy of formation: 15.65 eV per formula unit
- Total magnetization: 0.0 μB/cell
- Energy above the lowest structure with this stoichiometry: 1457 meV per atom
- VASP energy: -25.408 eV/cell
- Crystal system: cubic

Cell: 4.3866 4.3866 4.3866 Å, 90.00 90.00 90.00°
Closest atoms and distances in Å follow each position.
Space group Pm-3m (No. 221)
Asymmetric unit:
K (0.0000, 0.0000, 0.0000) (multiplicity 1)  6 Tc 2.19
Tc (0.0000, 0.0000, 0.5000) (multiplicity 3)  2 K 2.19
Ir (0.5000, 0.5000, 0.5000) (multiplicity 1)  12 Tc 3.10


Density functional theory data (PBE-GGA) for crystalline ZrBiTe4 at its relaxed geometry.

Output
- Total magnetization: 0.0 μB/cell
- VASP energy: -27.662 eV/cell
- Crystal system: monoclinic

Cell: 6.6837 4.0376 7.6408 Å, 90.00 90.02 90.00°
Closest atoms and distances in Å follow each position.
Space group P2/m (No. 10)
Asymmetric unit:
Zr (0.0000, 0.0000, 0.0000) (multiplicity 1)  6 Te 2.92-2.93
Bi (0.0000, 0.5000, 0.5000) (multiplicity 1)  6 Te 3.12-3.14
Te (0.2610, 0.5000, 0.8419) (multiplicity 2)  2 Zr 2.93, 1 Bi 3.14
Te (0.2714, 0.0000, 0.2996) (multiplicity 2)  1 Zr 2.92, 2 Bi 3.12


Density functional theory data (PBE-GGA) for crystalline PrFeNi4 at its relaxed geometry.

Output
- Energy of formation: -1.11 eV per formula unit
- Total magnetization: 3.9 μB/cell
- VASP energy: -37.475 eV/cell
- Crystal system: hexagonal

Cell: 5.0466 5.0466 3.9449 Å, 90.00 90.00 120.00°
Closest atoms and distances in Å follow each position.
Space group P-6m2 (No. 187)
Asymmetric unit:
Pr (0.0000, 0.0000, 0.0000) (multiplicity 1)  3 Fe 2.91, 15 Ni 2.91-3.20
Fe (0.3333, 0.6667, 0.0000) (multiplicity 1)  6 Ni 2.45
Ni (0.5004, 0.0007, 0.5000) (multiplicity 3)  6 Ni 2.45-2.53, 2 Fe 2.45
Ni (0.6667, 0.3333, 0.0000) (multiplicity 1)  6 Ni 2.45


Density functional theory data (PBE-GGA) for crystalline AlInP2S at its relaxed geometry.

Output
- Total magnetization: 1.3 μB/cell
- Energy above the lowest structure with this stoichiometry: 656 meV per atom
- VASP energy: -16.393 eV/cell
- Crystal system: tetragonal

Cell: 5.0754 5.0754 5.0664 Å, 90.00 90.00 90.00°
Closest atoms and distances in Å follow each position.
Space group P4/mmm (No. 123)
Asymmetric unit:
Al (0.0000, 0.0000, 0.0000) (multiplicity 1)  8 P 3.59, 4 S 3.59
In (0.5000, 0.5000, 0.5000) (multiplicity 1)  2 S 2.53, 4 P 2.54
P (0.0000, 0.5000, 0.5000) (multiplicity 2)  2 In 2.54
S (0.5000, 0.5000, 0.0000) (multiplicity 1)  2 In 2.53


Density functional theory data (PBE-GGA) for crystalline LaScCoNi at its relaxed geometry.

Output
- Energy of formation: -0.65 eV per formula unit
- Total magnetization: 0.0 μB/cell
- VASP energy: -99.196 eV/cell
- Crystal system: cubic

Cell: 6.6899 6.6899 6.6899 Å, 90.00 90.00 90.00°
Closest atoms and distances in Å follow each position.
Space group F-43m (No. 216)
Asymmetric unit:
La (0.0000, 0.0000, 0.0000) (multiplicity 4)  4 Co 2.90, 4 Ni 2.90
Sc (0.0000, 0.0000, 0.5000) (multiplicity 4)  4 Ni 2.90, 4 Co 2.90
Co (0.2500, 0.2500, 0.7500) (multiplicity 4)  4 La 2.90, 4 Sc 2.90
Ni (0.2500, 0.2500, 0.2500) (multiplicity 4)  4 La 2.90, 4 Sc 2.90


Density functional theory data (PBE-GGA) for crystalline Ba2SbRh at its relaxed geometry.

Output
- Total magnetization: 0.0 μB/cell
- VASP energy: -35.608 eV/cell
- Crystal system: orthorhombic

Cell: 4.8529 5.0518 11.4006 Å, 90.00 90.00 90.00°
Closest atoms and distances in Å follow each position.
Space group Amm2 (No. 38)
Asymmetric unit:
Ba (0.0000, 0.0000, 0.0000) (multiplicity 2)  3 Rh 3.35-3.50, 4 Sb 3.67
Ba (0.5000, 0.0000, 0.2889) (multiplicity 2)  3 Sb 3.36-3.49, 4 Rh 3.67
Sb (0.5000, 0.0000, 0.5948) (multiplicity 2)  2 Rh 2.67
Rh (0.0000, 0.0000, 0.6930) (multiplicity 2)  2 Sb 2.67